Record 1
The following is a PBE calculation of a relaxed Li4SF2 crystal, from the Alexandria database.

Cell lengths 6.506, 6.506, 6.506 Å; angles 139.08, 139.08, 59.26 degrees
Atoms (fractional coordinates):
Li  0.000  0.500  0.500
Li  0.202  0.202  0.000
Li  0.500  0.000  0.500
Li  0.798  0.798  0.000
S  0.000  0.000  0.000
F  0.355  0.355  0.000
F  0.645  0.645  0.000

Total magnetization ... 0.00 μB per formula unit
Symmetry ... No. 139
Raw formation energy ... -1870.2 meV per atom
Crystal system ... tetragonal
Excess energy over the best structure of this formula in the dataset ... 248.7 meV/atom

---

Record 2
The following is a PBE calculation of a relaxed LiSF2 crystal, from the Alexandria database.

Cell lengths 4.221, 4.221, 4.221 Å; angles 60.00, 60.00, 60.00 degrees
Atoms (fractional coordinates):
Li  0.000  0.000  0.000
S  0.500  0.500  0.500
F  0.250  0.250  0.250
F  0.750  0.750  0.750

Total magnetization ... 2.98 μB per formula unit
Symmetry ... No. 225
Raw formation energy ... -822.5 meV per atom
Crystal system ... cubic
Excess energy over the best structure of this formula in the dataset ... 803.1 meV/atom

---

Record 3
The following is a PBE calculation of a relaxed LiSF2 crystal, from the Alexandria database.

Cell lengths 7.457, 7.457, 7.457 Å; angles 22.32, 22.32, 22.32 degrees
Atoms (fractional coordinates):
Li  0.000  0.000  0.000
S  0.500  0.500  0.500
F  0.077  0.077  0.077
F  0.923  0.923  0.923

Total magnetization ... 0.64 μB per formula unit
Symmetry ... No. 166
Raw formation energy ... -865.1 meV per atom
Crystal system ... trigonal
Excess energy over the best structure of this formula in the dataset ... 760.4 meV/atom

---

Record 4
The following is a PBE calculation of a relaxed LiSF2 crystal, from the Alexandria database.

Cell lengths 6.212, 6.212, 6.212 Å; angles 28.35, 28.35, 28.35 degrees
Atoms (fractional coordinates):
Li  0.000  0.000  0.000
S  0.500  0.500  0.500
F  0.392  0.392  0.392
F  0.608  0.608  0.608

Total magnetization ... 0.00 μB per formula unit
Symmetry ... No. 166
Raw formation energy ... -1625.6 meV per atom
Crystal system ... trigonal
Excess energy over the best structure of this formula in the dataset ... 0.0 meV/atom